Computed, not measured: ZnCd2Cl after structural relaxation at the PBE level of DFT.

The calculation puts the density of states at the Fermi level at 1.11 states/eV/f.u. The excess energy over the best structure of this formula in the dataset is 6.9 kJ per mole of atoms. The value obtained for the theoretical density is 6.37 Mg/m³. The uncorrected formation energy is -0.17 eV per atom.

Lattice parameters (Å, degrees): 3.287 3.287 7.859 90.00 90.00 90.00
Fractional positions:
Zn1 0.000 0.000 0.000
Cd1 0.500 0.500 0.232
Cd2 0.500 0.500 0.768
Cl1 0.000 0.000 0.500